LaMnNO2, relaxed, DFT PBE+U; crystal system = tetragonal; mass density = 6.6 g/cm3; VASP energy = -7.81 eV/atom
1.0
3.9200 0.0000 0.0000
0.0000 3.9200 0.0000
0.0000 0.0000 3.9070
La Mn O N
1 1 2 1
Direct
0.5000 0.5000 0.5000
0.0000 0.0000 0.0000
0.5000 0.0000 0.0000
0.0000 0.5000 0.0000
0.0000 0.0000 0.5000